Density functional theory data (GGA-PBE) for an optimized crystal structure of Tm2VZn.

total moment = 3.3 Bohr magnetons per cell
DFT formation energy = 0.00 eV per atom
electronic total energy = -4.83 eV per atom
N(E_F) = 0.9330 states/eV/atom
crystal system = tetragonal
symmetry = P4/mmm

POSCAR file:
```
Tm2VZn
1.0
3.553 0.000 0.000
0.000 3.553 0.000
0.000 0.000 6.973
Tm V Zn
2 1 1
Cartesian
0.000 0.000 5.262 Tm
0.000 0.000 1.711 Tm
1.777 1.777 0.000 V
1.777 1.777 3.486 Zn
```